Entry 1:
Compound: AgPbSe2
Source: Alexandria via LeMat-Bulk
Functional: PBE
Structure: relaxed

Values from the calculation:
Raw formation energy   -0.26 eV/atom
Volume   98.92 Å³/cell
DOS(E_F)   2.3 states/eV/cell

Unit cell a=4.1616 b=4.1616 c=7.0050 alpha=72.92 beta=72.92 gamma=60.09
Positions (direct):
Pb: 0.2500 0.2500 0.2500
Se: 0.0072 0.0072 0.9758
Se: 0.4928 0.4928 0.5242
Ag: 0.7500 0.7500 0.7500


Entry 2:
Compound: Be2P
Source: Alexandria via LeMat-Bulk
Functional: PBE
Structure: relaxed

Values from the calculation:
Volume   217.93 Å³/cell
Formation energy   -0.08 eV per atom
DOS(E_F)   2.6 states/eV/cell
E above lowest polymorph   0.17 eV per formula unit

Unit cell a=3.4692 b=3.4692 c=20.9088 alpha=90.00 beta=90.00 gamma=120.00
Positions (direct):
P: 0.0000 0.0000 0.8631
P: 0.3333 0.6667 0.5297
P: 0.6667 0.3333 0.1964
P: 0.0000 0.0000 0.3476
P: 0.3333 0.6667 0.0143
P: 0.6667 0.3333 0.6810
Be: 0.0000 0.0000 0.0619
Be: 0.3333 0.6667 0.7285
Be: 0.6667 0.3333 0.3952
Be: 0.0000 0.0000 0.1635
Be: 0.3333 0.6667 0.8302
Be: 0.6667 0.3333 0.4969
Be: 0.0000 0.0000 0.4553
Be: 0.3333 0.6667 0.1220
Be: 0.6667 0.3333 0.7886
Be: 0.0000 0.0000 0.9644
Be: 0.3333 0.6667 0.6311
Be: 0.6667 0.3333 0.2978


Entry 3:
Compound: PrZn6Au4
Source: Alexandria via LeMat-Bulk
Functional: PBE
Structure: relaxed

Values from the calculation:
Volume   203.78 Å³/cell
Formation energy   -0.37 eV per atom
DOS(E_F)   5.1 states/eV/cell

Unit cell a=4.2130 b=7.4733 c=7.4733 alpha=120.00 beta=90.00 gamma=90.00
Positions (direct):
Pr: 0.0000 0.0000 0.0000
Zn: 0.0000 0.5386 0.0772
Zn: 0.5000 0.5871 0.7935
Zn: 0.0000 0.5386 0.4614
Zn: 0.0000 0.9228 0.4614
Zn: 0.5000 0.2065 0.7935
Zn: 0.5000 0.2065 0.4129
Au: 0.5000 0.8045 0.6091
Au: 0.5000 0.3909 0.1955
Au: 0.5000 0.8045 0.1955
Au: 0.0000 0.3333 0.6667


Entry 4:
Compound: Ti2GeN
Source: Alexandria via LeMat-Bulk
Functional: PBE
Structure: relaxed

Values from the calculation:
Raw formation energy   -1.13 eV/atom
Volume   52.61 Å³/cell
DOS(E_F)   2.3 states/eV/cell

Unit cell a=3.0468 b=3.0474 c=6.7619 alpha=102.63 beta=90.00 gamma=119.99
Positions (direct):
Ti: 0.2774 0.0548 0.3268
Ti: 0.7226 0.9452 0.6732
Ge: 0.5000 0.5000 0.0000
N: 0.0000 0.5000 0.5000


Entry 5:
Compound: LiCdNiPd
Source: Alexandria via LeMat-Bulk
Functional: PBE
Structure: relaxed

Values from the calculation:
Volume   58.23 Å³/cell
Formation energy   -0.21 eV per atom
DOS(E_F)   2.4 states/eV/cell

Unit cell a=4.3508 b=4.3508 c=4.3508 alpha=60.00 beta=60.00 gamma=60.00
Positions (direct):
Ni: 0.0000 0.0000 0.0000
Li: 0.5000 0.5000 0.5000
Pd: 0.2500 0.2500 0.2500
Cd: 0.7500 0.7500 0.7500


Entry 6:
Compound: YNiSe2
Source: Alexandria via LeMat-Bulk
Functional: PBE
Structure: relaxed

Values from the calculation:
Raw formation energy   -1.02 eV/atom
Volume   89.90 Å³/cell
DOS(E_F)   2.1 states/eV/cell

Unit cell a=5.6745 b=5.6745 c=4.4360 alpha=91.40 beta=91.40 gamma=39.02
Positions (direct):
Ni: 0.2098 0.2098 0.3312
Se: 0.0277 0.0277 0.0468
Se: 0.7706 0.7706 0.5835
Y: 0.4918 0.4918 0.5386